First-principles (PBE) data for a relaxed structure of KRbInAg2Au, as listed in OQMD via LeMat-Bulk.

Output
As for the energy above the lowest structure with this stoichiometry: 2.4 meV/atom. The crystal system is orthorhombic. As for the energy: -2.42 eV per atom.

```
12
Lattice="5.749 0.000 0.000 0.000 6.686 0.000 0.000 0.000 9.329" Properties=species:S:1:pos:R:3 pbc="T T T"
K 1.437 0.000 1.189
K 4.312 0.000 8.140
Rb 1.437 3.343 3.366
Rb 4.312 3.343 5.963
In 1.437 3.343 8.689
In 4.312 3.343 0.640
Ag 1.437 1.434 6.677
Ag 1.437 5.251 6.677
Ag 4.312 1.434 2.652
Ag 4.312 5.251 2.652
Au 0.000 0.000 4.665
Au 2.874 0.000 4.665
```